A plane-wave DFT calculation with PBE with a Hubbard U was carried out for RbAlCo2F8 after structural relaxation.

Cell: 8.1544 6.1276 7.3290 Å, 90.00 105.90 90.00°
Space group C2/m (No. 12)
Inequivalent atoms, fractional coordinates:
Rb 0.0000 0.0000 0.0000 (multiplicity 2)
Al 0.0000 0.0000 0.5000 (multiplicity 2)
Co 0.0645 0.5000 0.2350 (multiplicity 4)
F 0.0176 0.2152 0.6822 (multiplicity 8)
F 0.1522 0.5000 0.0062 (multiplicity 4)
F 0.2290 0.0000 0.5472 (multiplicity 4)

For the electronic total energy, the calculation gives -123.74 eV for the cell shown. For the calculated volume, the calculation gives 14.675 Å³/atom.